No. 1
# BaIn2SnI6

Crystalline BaIn2SnI6 at its relaxed geometry (GGA-PBE, Alexandria via LeMat-Bulk).

## Properties
uncorrected formation energy = -840 meV per atom
crystal system = trigonal
SG = R3
D(E_F) = 0.00 states/eV per cell

Lattice parameters (Å, degrees): 9.086 9.086 9.086 57.00 57.00 57.00
Sites, in units of the cell vectors:
Ba (0.000, 0.000, 0.000)
In (0.299, 0.299, 0.299)
In (0.804, 0.804, 0.804)
Sn (0.496, 0.496, 0.496)
I (0.125, 0.701, 0.393)
I (0.233, 0.610, 0.866)
I (0.393, 0.125, 0.701)
I (0.610, 0.866, 0.233)
I (0.701, 0.393, 0.125)
I (0.866, 0.233, 0.610)

=====

No. 2
# Pr2Ga2CuNi5

Crystalline Pr2Ga2CuNi5 at its relaxed geometry (GGA-PBE, Alexandria via LeMat-Bulk).

## Properties
crystal system = tetragonal
SG = P4/mbm
formation energy from the elements = -162 meV per atom
D(E_F) = 12.60 states/eV per cell

Lattice parameters (Å, degrees): 9.938 9.938 3.248 90.00 90.00 90.00
Sites, in units of the cell vectors:
Pr (0.176, 0.324, 0.000)
Pr (0.324, 0.824, 0.000)
Pr (0.676, 0.176, 0.000)
Pr (0.824, 0.676, 0.000)
Ga (0.125, 0.625, 0.000)
Ga (0.375, 0.125, 0.000)
Ga (0.625, 0.875, 0.000)
Ga (0.875, 0.375, 0.000)
Cu (0.000, 0.000, 0.000)
Cu (0.500, 0.500, 0.000)
Ni (0.000, 0.500, 0.500)
Ni (0.054, 0.809, 0.500)
Ni (0.191, 0.054, 0.500)
Ni (0.309, 0.554, 0.500)
Ni (0.446, 0.309, 0.500)
Ni (0.500, 0.000, 0.500)
Ni (0.554, 0.691, 0.500)
Ni (0.691, 0.446, 0.500)
Ni (0.809, 0.946, 0.500)
Ni (0.946, 0.191, 0.500)

=====

No. 3
# Be2CdW

Crystalline Be2CdW at its relaxed geometry (GGA-PBE, Alexandria via LeMat-Bulk).

## Properties
crystal system = cubic
SG = F-43m
formation energy from the elements = 956 meV per atom
D(E_F) = 1.78 states/eV per cell

Lattice parameters (Å, degrees): 4.326 4.326 4.326 60.00 60.00 60.00
Sites, in units of the cell vectors:
Be (0.000, 0.000, 0.000)
Be (0.250, 0.250, 0.250)
Cd (0.750, 0.750, 0.750)
W (0.500, 0.500, 0.500)

=====

No. 4
# CaPr2Mg6

Crystalline CaPr2Mg6 at its relaxed geometry (GGA-PBE, Alexandria via LeMat-Bulk).

## Properties
crystal system = hexagonal
SG = P6/mmm
formation energy from the elements = -82 meV per atom
D(E_F) = 7.81 states/eV per cell

Lattice parameters (Å, degrees): 9.220 9.220 3.438 90.00 90.00 120.00
Sites, in units of the cell vectors:
Ca (0.000, 0.000, 0.000)
Pr (0.333, 0.667, 0.000)
Pr (0.667, 0.333, 0.000)
Mg (0.000, 0.334, 0.500)
Mg (0.000, 0.666, 0.500)
Mg (0.334, 0.000, 0.500)
Mg (0.334, 0.334, 0.500)
Mg (0.666, 0.000, 0.500)
Mg (0.666, 0.666, 0.500)

=====

No. 5
# CrHg2As

Crystalline CrHg2As at its relaxed geometry (GGA-PBE, Alexandria via LeMat-Bulk).

## Properties
crystal system = tetragonal
SG = P4mm
formation energy from the elements = 202 meV per atom
D(E_F) = 2.47 states/eV per cell

Lattice parameters (Å, degrees): 3.401 3.401 7.267 90.00 90.00 90.00
Sites, in units of the cell vectors:
Cr (0.000, 0.000, 0.000)
Hg (0.000, 0.000, 0.578)
Hg (0.500, 0.500, 0.291)
As (0.500, 0.500, 0.884)

=====

No. 6
# V3MoW

Crystalline V3MoW at its relaxed geometry (GGA-PBE, Alexandria via LeMat-Bulk).

## Properties
crystal system = cubic
SG = Pm-3m
formation energy from the elements = 1556 meV per atom
D(E_F) = 7.49 states/eV per cell

Lattice parameters (Å, degrees): 4.450 4.450 4.450 90.00 90.00 90.00
Sites, in units of the cell vectors:
V (0.000, 0.000, 0.500)
V (0.000, 0.500, 0.000)
V (0.500, 0.000, 0.000)
Mo (0.000, 0.000, 0.000)
W (0.500, 0.500, 0.500)

=====

No. 7
# Sr2TcOs

Crystalline Sr2TcOs at its relaxed geometry (GGA-PBE, Alexandria via LeMat-Bulk).

## Properties
crystal system = cubic
SG = Fm-3m
formation energy from the elements = 1289 meV per atom
D(E_F) = 6.93 states/eV per cell

Lattice parameters (Å, degrees): 5.183 5.183 5.183 60.00 60.00 60.00
Sites, in units of the cell vectors:
Sr (0.250, 0.250, 0.250)
Sr (0.750, 0.750, 0.750)
Tc (0.000, 0.000, 0.000)
Os (0.500, 0.500, 0.500)

=====

No. 8
# LiCuRh

Crystalline LiCuRh at its relaxed geometry (GGA-PBE, Alexandria via LeMat-Bulk).

## Properties
crystal system = cubic
SG = F-43m
formation energy from the elements = 347 meV per atom
D(E_F) = 6.16 states/eV per cell

Lattice parameters (Å, degrees): 4.021 4.021 4.021 60.00 60.00 60.00
Sites, in units of the cell vectors:
Li (0.000, 0.000, 0.000)
Cu (0.750, 0.750, 0.750)
Rh (0.500, 0.500, 0.500)

=====

No. 9
# Fe2ReIr

Crystalline Fe2ReIr at its relaxed geometry (GGA-PBE, Alexandria via LeMat-Bulk).

## Properties
crystal system = orthorhombic
SG = Pmm2
formation energy from the elements = -13 meV per atom
D(E_F) = 4.10 states/eV per cell

Lattice parameters (Å, degrees): 2.680 3.712 5.251 90.00 90.00 90.00
Sites, in units of the cell vectors:
Fe (0.000, 0.000, 0.000)
Fe (0.500, 0.500, 0.227)
Re (0.500, 0.500, 0.757)
Ir (0.000, 0.000, 0.487)